# Rb3U3IrS8

A relaxed structure of Rb3U3IrS8 (PBE, Alexandria).

Output
- Volume: 412 Å³/f.u.
- Energy: -6.3964 eV per atom
- E_form (uncorrected): -111.3 kJ per mole of atoms
- Total moment: 23.5 μB per cell

Cell lengths 7.6895, 7.6895, 24.1280 Å; angles 90.00, 90.00, 120.00 degrees
Space group R-3m (No. 166, hexagonal axes)
Unique sites:
1 Rb 0.0000 0.5000 0.0000 x9
2 U 0.0000 0.5000 0.5000 x9
3 Ir 0.0000 0.0000 0.5000 x3
4 S 0.0000 0.0000 0.2332 x6
5 S 0.0258 0.5129 0.2273 x18

# Rb2UIrS4

A relaxed structure of Rb2UIrS4 (PBE, Alexandria).

Output
- Volume: 279 Å³/f.u.
- Energy: -5.5974 eV per atom
- E_form (uncorrected): -74.6 kJ per mole of atoms
- Total moment: 7.9 μB per cell

Cell lengths 6.145, 14.935, 24.331 Å; angles 90.00, 90.00, 90.00 degrees
Space group Fddd (No. 70, origin choice 2)
Unique sites:
1 Rb 0.125 0.125 0.308 x16
2 U 0.125 0.125 0.125 x8
3 Ir 0.125 0.125 0.625 x8
4 S 0.101 0.268 0.834 x32

# RbSb2Ir

A relaxed structure of RbSb2Ir (PBE, Alexandria).

Output
- Volume: 94 Å³/f.u.
- Energy: -4.0776 eV per atom
- E_form (uncorrected): 42.5 kJ per mole of atoms
- Polymorph energy (0 for the lowest one): 718 meV/atom
- Total moment: 0.0 μB per cell

Cell lengths 7.227, 7.227, 7.227 Å; angles 90.00, 90.00, 90.00 degrees
Space group Fm-3m (No. 225)
Unique sites:
1 Rb 0.000 0.000 0.000 x4
2 Sb 0.250 0.250 0.250 x8
3 Ir 0.000 0.000 0.500 x4

# RbSb3Ir

A relaxed structure of RbSb3Ir (PBE, Alexandria).

Output
- Volume: 195 Å³/f.u.
- Energy: -2.0241 eV per atom
- E_form (uncorrected): 233.0 kJ per mole of atoms
- Polymorph energy (0 for the lowest one): 2184 meV/atom
- Total moment: 2.1 μB per cell

Cell lengths 5.795, 5.795, 5.795 Å; angles 90.00, 90.00, 90.00 degrees
Space group Pm-3m (No. 221)
Unique sites:
1 Rb 0.000 0.000 0.000 x1
2 Sb 0.000 0.000 0.500 x3
3 Ir 0.500 0.500 0.500 x1

# RbSb2Ir

A relaxed structure of RbSb2Ir (PBE, Alexandria).

Output
- Volume: 123 Å³/f.u.
- Energy: -4.7959 eV per atom
- E_form (uncorrected): -26.8 kJ per mole of atoms
- Polymorph energy (0 for the lowest one): 0 meV/atom
- Total moment: 0.0 μB per cell

Cell lengths 4.3527, 4.3527, 22.4080 Å; angles 90.00, 90.00, 120.00 degrees
Space group R3m (No. 160, hexagonal axes)
Unique sites:
1 Rb 0.0000 0.0000 0.0000 x3
2 Sb 0.0000 0.0000 0.5464 x3
3 Sb 0.0000 0.0000 0.7885 x3
4 Ir 0.0000 0.0000 0.1754 x3

# RbSb3Ir

A relaxed structure of RbSb3Ir (PBE, Alexandria).

Output
- Volume: 156 Å³/f.u.
- Energy: -4.2079 eV per atom
- E_form (uncorrected): 22.3 kJ per mole of atoms
- Polymorph energy (0 for the lowest one): 0 meV/atom
- Total moment: 0.0 μB per cell

Cell lengths 5.382, 5.382, 5.382 Å; angles 90.00, 90.00, 90.00 degrees
Space group Pm-3m (No. 221)
Unique sites:
1 Rb 0.000 0.000 0.000 x1
2 Sb 0.000 0.500 0.500 x3
3 Ir 0.500 0.500 0.500 x1

# RbSb2Ir

A relaxed structure of RbSb2Ir (PBE, Alexandria).

Output
- Volume: 121 Å³/f.u.
- Energy: -4.7960 eV per atom
- E_form (uncorrected): -26.8 kJ per mole of atoms
- Polymorph energy (0 for the lowest one): 0 meV/atom
- Total moment: 0.0 μB per cell

Cell lengths 4.3467, 4.3467, 22.1385 Å; angles 90.00, 90.00, 120.00 degrees
Space group R-3m (No. 166, hexagonal axes)
Unique sites:
1 Rb 0.0000 0.0000 0.0000 x3
2 Sb 0.0000 0.0000 0.2131 x6
3 Ir 0.0000 0.0000 0.5000 x3

# Rb2SbIr

A relaxed structure of Rb2SbIr (PBE, Alexandria).

Output
- Volume: 136 Å³/f.u.
- Energy: -2.7244 eV per atom
- E_form (uncorrected): 97.0 kJ per mole of atoms
- Total moment: 3.8 μB per cell

Cell lengths 8.163, 8.163, 8.163 Å; angles 90.00, 90.00, 90.00 degrees
Space group Fm-3m (No. 225)
Unique sites:
1 Rb 0.250 0.250 0.250 x8
2 Sb 0.000 0.000 0.000 x4
3 Ir 0.000 0.000 0.500 x4